1.
This record from Alexandria via LeMat-Bulk describes a relaxed Li2SmHg9 crystal. The functional is GGA-PBE.

The structure belongs to space group P4/mmm (No. 123); the cell edges are 4.5912, 4.5912 and 13.3223 Å and the angles 90.00°, 90.00° and 90.00°. The asymmetric unit holds Li at (0.0000, 0.0000, 0.1573), Sm at (0.0000, 0.0000, 0.5000), Hg at (0.0000, 0.5000, 0.0000), Hg at (0.0000, 0.5000, 0.3220), Hg at (0.5000, 0.5000, 0.1613) and Hg at (0.5000, 0.5000, 0.5000).

For the final energy, the calculation gives -14.1 eV/f.u. The volume comes out at 281 Å³/f.u.

***

2.
This record from Alexandria via LeMat-Bulk describes a relaxed KIrRh crystal. The functional is GGA-PBE.

The structure belongs to space group P3m1 (No. 156); the cell edges are 2.8235, 2.8235 and 7.8918 Å and the angles 90.00°, 90.00° and 120.00°. The asymmetric unit holds K at (0.0000, 0.0000, 0.0000), Ir at (0.6667, 0.3333, 0.6358) and Rh at (0.3333, 0.6667, 0.3672).

The polymorph energy (0 for the lowest one) comes out at 358 meV per atom. The volume comes out at 54 Å³/f.u.

***

3.
This record from Alexandria via LeMat-Bulk describes a relaxed NaTl3N crystal. The functional is GGA-PBE.

The structure belongs to space group Pm-3m (No. 221); the cell edges are 5.5360, 5.5360 and 5.5360 Å and the angles 90.00°, 90.00° and 90.00°. The asymmetric unit holds Na at (0.0000, 0.0000, 0.0000), Tl at (0.0000, 0.0000, 0.5000) and N at (0.5000, 0.5000, 0.5000).

The polymorph energy (0 for the lowest one) comes out at 874 meV per atom. The volume comes out at 170 Å³/f.u. As for the uncorrected formation energy: 1.447 eV/atom.

***

4.
This record from Alexandria via LeMat-Bulk describes a relaxed Sc2FeP crystal. The functional is GGA-PBE.

The structure belongs to space group P4mm (No. 99); the cell edges are 3.6783, 3.6783 and 5.3869 Å and the angles 90.00°, 90.00° and 90.00°. The asymmetric unit holds Sc at (0.0000, 0.0000, 0.0000), Sc at (0.5000, 0.5000, 0.3745), Fe at (0.0000, 0.0000, 0.4914) and P at (0.5000, 0.5000, 0.8754).

For the final energy, the calculation gives -28.0 eV/f.u. The volume comes out at 73 Å³/f.u.

***

5.
This record from Alexandria via LeMat-Bulk describes a relaxed SrTmIrPd crystal. The functional is GGA-PBE.

The structure belongs to space group F-43m (No. 216); the cell edges are 7.0396, 7.0396 and 7.0396 Å and the angles 90.00°, 90.00° and 90.00°. The asymmetric unit holds Sr at (0.0000, 0.0000, 0.0000), Tm at (0.0000, 0.0000, 0.5000), Ir at (0.2500, 0.2500, 0.7500) and Pd at (0.2500, 0.2500, 0.2500).

For the final energy, the calculation gives -22.3 eV/f.u. The volume comes out at 87 Å³/f.u.

***

6.
This record from Alexandria via LeMat-Bulk describes a relaxed Dy3CuSi2Pt9 crystal. The functional is GGA-PBE.

The structure belongs to space group P-3m1 (No. 164); the cell edges are 5.6437, 5.6437 and 10.7578 Å and the angles 90.00°, 90.00° and 120.00°. The asymmetric unit holds Dy at (0.0000, 0.0000, 0.0000), Dy at (0.3333, 0.6667, 0.5782), Cu at (0.0000, 0.0000, 0.5000), Si at (0.3333, 0.6667, 0.1649), Pt at (0.0000, 0.5000, 0.0000) and Pt at (0.1628, 0.3257, 0.3193).

The volume comes out at 297 Å³/f.u. As for the uncorrected formation energy: -0.820 eV/atom.

***

7.
This record from Alexandria via LeMat-Bulk describes a relaxed Nd2GeSe crystal. The functional is GGA-PBE.

The structure belongs to space group P4/mmm (No. 123); the cell edges are 4.2683, 4.2683 and 6.0246 Å and the angles 90.00°, 90.00° and 90.00°. The asymmetric unit holds Nd at (0.0000, 0.0000, 0.0000), Nd at (0.5000, 0.5000, 0.5000), Ge at (0.0000, 0.0000, 0.5000) and Se at (0.5000, 0.5000, 0.0000).

The polymorph energy (0 for the lowest one) comes out at 0 meV per atom. The volume comes out at 110 Å³/f.u. As for the uncorrected formation energy: -1.418 eV/atom.

***

8.
This record from Alexandria via LeMat-Bulk describes a relaxed TiBeCrW crystal. The functional is GGA-PBE.

The structure belongs to space group F-43m (No. 216); the cell edges are 5.9625, 5.9625 and 5.9625 Å and the angles 90.00°, 90.00° and 90.00°. The asymmetric unit holds Ti at (0.0000, 0.0000, 0.0000), Be at (0.2500, 0.2500, 0.2500), Cr at (0.2500, 0.2500, 0.7500) and W at (0.0000, 0.0000, 0.5000).

For the final energy, the calculation gives -34.1 eV/f.u. The volume comes out at 53 Å³/f.u.

***

9.
This record from Alexandria via LeMat-Bulk describes a relaxed As2IrSe crystal. The functional is GGA-PBE.

The structure belongs to space group R3m (No. 160, hexagonal axes); the cell edges are 3.5761, 3.5761 and 22.7633 Å and the angles 90.00°, 90.00° and 120.00°. The asymmetric unit holds As at (0.0000, 0.0000, 0.0000), As at (0.0000, 0.0000, 0.2669), Ir at (0.0000, 0.0000, 0.7532) and Se at (0.0000, 0.0000, 0.4736).

The volume comes out at 84 Å³/f.u. As for the uncorrected formation energy: 0.106 eV/atom.

***

10.
This record from Alexandria via LeMat-Bulk describes a relaxed RbCaCl3 crystal. The functional is GGA-PBE.

The structure belongs to space group Cmce (No. 64); the cell edges are 10.8548, 16.0410 and 7.0888 Å and the angles 90.00°, 90.00° and 90.00°. The asymmetric unit holds Rb at (0.2500, 0.1650, 0.2500), Ca at (0.0000, 0.1148, 0.6791), Cl at (0.0000, 0.0539, 0.2956), Cl at (0.0000, 0.2377, 0.9763) and Cl at (0.2500, 0.1194, 0.7500).

The volume comes out at 154 Å³/f.u. As for the uncorrected formation energy: -2.196 eV/atom.

***

11.
This record from Alexandria via LeMat-Bulk describes a relaxed LiAc4Nd crystal. The functional is GGA-PBE.

The structure belongs to space group F-43m (No. 216); the cell edges are 10.2801, 10.2801 and 10.2801 Å and the angles 90.00°, 90.00° and 90.00°. The asymmetric unit holds Li at (0.0000, 0.0000, 0.0000), Ac at (0.1240, 0.1240, 0.6240) and Nd at (0.2500, 0.2500, 0.2500).

The polymorph energy (0 for the lowest one) comes out at 381 meV per atom. The volume comes out at 272 Å³/f.u.

***

12.
This record from Alexandria via LeMat-Bulk describes a relaxed Tb2TmTl crystal. The functional is GGA-PBE.

The structure belongs to space group F-43m (No. 216); the cell edges are 7.7115, 7.7115 and 7.7115 Å and the angles 90.00°, 90.00° and 90.00°. The asymmetric unit holds Tb at (0.0000, 0.0000, 0.0000), Tb at (0.2500, 0.2500, 0.2500), Tm at (0.0000, 0.0000, 0.5000) and Tl at (0.2500, 0.2500, 0.7500).

The polymorph energy (0 for the lowest one) comes out at 168 meV per atom. The volume comes out at 115 Å³/f.u.

***

13.
This record from Alexandria via LeMat-Bulk describes a relaxed MgP2SCl crystal. The functional is GGA-PBE.

The structure belongs to space group P4/mmm (No. 123); the cell edges are 4.5879, 4.5879 and 4.8937 Å and the angles 90.00°, 90.00° and 90.00°. The asymmetric unit holds Mg at (0.0000, 0.0000, 0.0000), P at (0.0000, 0.5000, 0.5000), S at (0.5000, 0.5000, 0.5000) and Cl at (0.5000, 0.5000, 0.0000).

The polymorph energy (0 for the lowest one) comes out at 0 meV per atom. The volume comes out at 103 Å³/f.u. As for the uncorrected formation energy: 0.498 eV/atom.

***

14.
This record from Alexandria via LeMat-Bulk describes a relaxed LiGaPt3 crystal. The functional is GGA-PBE.

The structure belongs to space group Pm-3m (No. 221); the cell edges are 4.2434, 4.2434 and 4.2434 Å and the angles 90.00°, 90.00° and 90.00°. The asymmetric unit holds Li at (0.0000, 0.0000, 0.0000), Ga at (0.5000, 0.5000, 0.5000) and Pt at (0.0000, 0.0000, 0.5000).

The polymorph energy (0 for the lowest one) comes out at 703 meV per atom. The volume comes out at 76 Å³/f.u.

***

15.
This record from Alexandria via LeMat-Bulk describes a relaxed Rb2SnH crystal. The functional is GGA-PBE.

The structure belongs to space group Fm-3m (No. 225); the cell edges are 8.7017, 8.7017 and 8.7017 Å and the angles 90.00°, 90.00° and 90.00°. The asymmetric unit holds Rb at (0.2500, 0.2500, 0.2500), Sn at (0.0000, 0.0000, 0.0000) and H at (0.0000, 0.0000, 0.5000).

The polymorph energy (0 for the lowest one) comes out at 210 meV per atom. The volume comes out at 165 Å³/f.u.

***

16.
This record from Alexandria via LeMat-Bulk describes a relaxed CdMoOs4 crystal. The functional is GGA-PBE.

The structure belongs to space group F-43m (No. 216); the cell edges are 7.3163, 7.3163 and 7.3163 Å and the angles 90.00°, 90.00° and 90.00°. The asymmetric unit holds Cd at (0.0000, 0.0000, 0.0000), Mo at (0.2500, 0.2500, 0.2500) and Os at (0.1252, 0.1252, 0.6252).

For the final energy, the calculation gives -53.1 eV/f.u. The volume comes out at 98 Å³/f.u.

***

17.
This record from Alexandria via LeMat-Bulk describes a relaxed La2Th2Tl3 crystal. The functional is GGA-PBE.

The structure belongs to space group Cmmm (No. 65); the cell edges are 3.5858, 33.8577 and 3.5772 Å and the angles 90.00°, 90.00° and 90.00°. The asymmetric unit holds La at (0.0000, 0.0694, 0.0000), Th at (0.0000, 0.2072, 0.0000), Tl at (0.0000, 0.3606, 0.5000) and Tl at (0.0000, 0.5000, 0.5000).

For the final energy, the calculation gives -33.0 eV/f.u. The volume comes out at 217 Å³/f.u.